# AcTmIrRh | Alexandria via LeMat-Bulk | PBE | optimized geometry
data_AcTmIrRh
_chemical_formula_sum 'Ac4 Tm4 Ir4 Rh4'
_cell_length_a 7.108
_cell_length_b 7.108
_cell_length_c 7.108
_cell_angle_alpha 90.00
_cell_angle_beta 90.00
_cell_angle_gamma 90.00
_space_group_name_H-M_alt 'F -4 3 m'
_space_group_IT_number 216
_space_group_name_Hall 'F -4 2 3'
loop_
_atom_site_label
_atom_site_type_symbol
_atom_site_fract_x
_atom_site_fract_y
_atom_site_fract_z
Ac1 Ac 0.000 0.000 0.000
Tm1 Tm 0.000 0.000 0.500
Ir1 Ir 0.250 0.250 0.250
Rh1 Rh 0.250 0.250 0.750
# * D(E_F): 9.91 states/eV per cell
# * final energy: -109.191 eV/cell
# * energy of formation from the pure elements: -0.626 eV/atom

---

# Sm8Cu2Bi | Alexandria via LeMat-Bulk | PBE | optimized geometry
data_Sm8Cu2Bi
_chemical_formula_sum 'Sm16 Cu4 Bi2'
_cell_length_a 8.802
_cell_length_b 13.726
_cell_length_c 5.563
_cell_angle_alpha 90.00
_cell_angle_beta 105.58
_cell_angle_gamma 90.00
_space_group_name_H-M_alt 'C 1 2/m 1'
_space_group_IT_number 12
_space_group_name_Hall '-C 2y'
loop_
_atom_site_label
_atom_site_type_symbol
_atom_site_fract_x
_atom_site_fract_y
_atom_site_fract_z
Sm1 Sm 0.000 0.246 0.000
Sm2 Sm 0.099 0.500 0.801
Sm3 Sm 0.200 0.123 0.587
Cu1 Cu 0.000 0.308 0.500
Bi1 Bi 0.000 0.000 0.000
# * D(E_F): 30.68 states/eV per cell
# * final energy: -102.370 eV/cell
# * energy of formation from the pure elements: -0.124 eV/atom

---

# YScSn2Te | Alexandria via LeMat-Bulk | PBE | optimized geometry
data_YScSn2Te
_chemical_formula_sum 'Y1 Sc1 Sn2 Te1'
_cell_length_a 5.812
_cell_length_b 5.812
_cell_length_c 5.528
_cell_angle_alpha 90.00
_cell_angle_beta 90.00
_cell_angle_gamma 90.00
_space_group_name_H-M_alt 'P 4/m m m'
_space_group_IT_number 123
_space_group_name_Hall '-P 4 2'
loop_
_atom_site_label
_atom_site_type_symbol
_atom_site_fract_x
_atom_site_fract_y
_atom_site_fract_z
Y1 Y 0.000 0.000 0.000
Sc1 Sc 0.500 0.500 0.000
Sn1 Sn 0.000 0.500 0.500
Te1 Te 0.000 0.000 0.500
# * D(E_F): 5.85 states/eV per cell
# * final energy: -21.804 eV/cell
# * formation energy without anion corrections: 0.428 eV/atom

---

no.,total magnetic moment (Bohr magnetons per cell)
1,0.0
2,0.0
3,1.0